(1)
## Pr2C2F (PBE)

Data for a relaxed Pr2C2F crystal.

Cell lengths 7.0922, 7.0922, 6.6296 Å; angles 107.88, 107.88, 35.70 degrees
Fractional coordinates of all 10 atoms:
Pr 0.0371 0.6809 0.8911
Pr 0.3191 0.9629 0.6089
Pr 0.6809 0.0371 0.3911
Pr 0.9629 0.3191 0.1089
C 0.1528 0.4041 0.4870
C 0.4041 0.1528 0.9870
C 0.5959 0.8472 0.0130
C 0.8472 0.5959 0.5130
F 0.0534 0.9466 0.2500
F 0.9466 0.0534 0.7500

The electronic total energy is -7.176 eV per atom. The space-group type is C2/c, No. 15.



(2)
## TlPd15 (PBE)

Data for a relaxed TlPd15 crystal.

Cell lengths 7.6882, 2.8177, 33.4664 Å; angles 90.00, 90.03, 90.00 degrees
Fractional coordinates of all 32 atoms:
Tl 0.1255 0.2500 0.1741
Tl 0.8745 0.7500 0.8259
Pd 0.1214 0.2500 0.7753
Pd 0.1221 0.2500 0.6898
Pd 0.1244 0.2500 0.6052
Pd 0.1248 0.2500 0.2673
Pd 0.1250 0.2500 0.3530
Pd 0.1253 0.2500 0.4372
Pd 0.1255 0.2500 0.5211
Pd 0.3713 0.7500 0.2248
Pd 0.3721 0.7500 0.3102
Pd 0.3744 0.7500 0.3947
Pd 0.3755 0.7500 0.4791
Pd 0.3754 0.7500 0.5635
Pd 0.3750 0.7500 0.6479
Pd 0.3748 0.7500 0.7309
Pd 0.3752 0.7500 0.8139
Pd 0.6248 0.2500 0.1861
Pd 0.6252 0.2500 0.2691
Pd 0.6250 0.2500 0.3521
Pd 0.6246 0.2500 0.4365
Pd 0.6245 0.2500 0.5209
Pd 0.6256 0.2500 0.6053
Pd 0.6279 0.2500 0.6898
Pd 0.6287 0.2500 0.7752
Pd 0.8745 0.7500 0.4789
Pd 0.8747 0.7500 0.5628
Pd 0.8750 0.7500 0.6470
Pd 0.8752 0.7500 0.7327
Pd 0.8756 0.7500 0.3948
Pd 0.8779 0.7500 0.3102
Pd 0.8786 0.7500 0.2247

Its excess energy over the best structure of this formula in the dataset is 0.0685 eV/atom. The space-group type is P2_1/m, No. 11.



(3)
## In2Ni3 (PBE)

Data for a relaxed In2Ni3 crystal.

Cell lengths 5.2787, 5.2787, 12.9325 Å; angles 90.00, 90.00, 120.00 degrees
Fractional coordinates of all 20 atoms:
In 0.0000 0.0000 0.2500
In 0.0000 0.0000 0.7500
In 0.3333 0.6667 0.0925
In 0.3333 0.6667 0.4075
In 0.3333 0.6667 0.7500
In 0.6667 0.3333 0.2500
In 0.6667 0.3333 0.5925
In 0.6667 0.3333 0.9075
Ni 0.1638 0.3277 0.5808
Ni 0.1638 0.3277 0.9192
Ni 0.1638 0.8362 0.5808
Ni 0.1638 0.8362 0.9192
Ni 0.3277 0.1638 0.0808
Ni 0.3277 0.1638 0.4192
Ni 0.6723 0.8362 0.5808
Ni 0.6723 0.8362 0.9192
Ni 0.8362 0.1638 0.0808
Ni 0.8362 0.1638 0.4192
Ni 0.8362 0.6723 0.0808
Ni 0.8362 0.6723 0.4192

The electronic total energy is -4.592 eV per atom. The space-group type is P6_3/mmc, No. 194.



(4)
## LiFeTcAs (PBE)

Data for a relaxed LiFeTcAs crystal.

Cell lengths 4.1219, 4.1219, 4.1219 Å; angles 60.00, 60.00, 60.00 degrees
Fractional coordinates of all 4 atoms:
Li 0.0000 0.0000 0.0000
Fe 0.7500 0.7500 0.7500
Tc 0.2500 0.2500 0.2500
As 0.5000 0.5000 0.5000

Its excess energy over the best structure of this formula in the dataset is 0.0000 eV/atom. The space-group type is F-43m, No. 216.